An optimized crystal structure of Mg4ZrPt, computed with PBE.

Lattice parameters (Å, degrees): 5.5133 5.5133 5.5133 60.00 60.00 60.00
Last column: nearest neighbours and their distance in Å.
Atoms (fractional coordinates):
Mg1 0.3748 0.8757 0.3748  6 Mg 2.75-2.76
Mg2 0.3748 0.3748 0.8757  6 Mg 2.75-2.76
Mg3 0.8757 0.3748 0.3748  6 Mg 2.75-2.76
Zr1 0.0000 0.0000 0.0000  12 Mg 3.23, 4 Pt 3.38
Mg4 0.3748 0.3748 0.3748  6 Mg 2.75-2.76
Pt1 0.7500 0.7500 0.7500  12 Mg 3.23, 4 Zr 3.38

Output
ΔH_f (0 K) (eV per atom): 0.083
Density of states at the Fermi level (states/eV per atom): 0.637
Space group: F-43m (216)